TaBe2Cr | the Alexandria database | GGA-PBE | relaxed; M_tot = 0.1628 μB per atom; E_form = 0.10 eV per atom; Fermi-level density of states = 2.668 states/eV per cell; ΔE to the lowest computed polymorph = 0.146 eV per atom; calculated total energy = -0.262 Ha/atom
1.0
-1.559 1.991 3.822
1.559 -1.991 3.822
1.559 1.991 -3.822
Ta Be Cr
1 2 1
Cartesian
0.000 0.000 0.000
1.559 0.000 2.065
0.000 0.000 3.528
0.000 1.991 1.746